[1]
First-principles (PBE) data for a relaxed structure of UHgBr4, as listed in Alexandria via LeMat-Bulk.

a = 18.4693 Å, b = 7.7672 Å, c = 7.3785 Å
α = 90.00°, β = 108.51°, γ = 90.00°
Space group C2/m (No. 12)
Unique sites:
U (0.0388, 0.0000, 0.3133) (multiplicity 4)
Hg (0.2050, 0.5000, 0.0973) (multiplicity 4)
Br (0.0000, 0.2412, 0.0000) (multiplicity 4)
Br (0.0929, 0.2184, 0.6328) (multiplicity 8)
Br (0.1788, 0.0000, 0.2838) (multiplicity 4)

Values from the calculation:
Uncorrected energy: -4.036 eV per atom

---

[2]
First-principles (PBE) data for a relaxed structure of CaDy2OsN4, as listed in Alexandria via LeMat-Bulk.

a = 3.4409 Å, b = 11.8311 Å, c = 11.6096 Å
α = 90.00°, β = 90.00°, γ = 90.00°
Space group Cmcm (No. 63)
Unique sites:
Ca (0.0000, 0.1282, 0.2500) (multiplicity 4)
Dy (0.0000, 0.3684, 0.0341) (multiplicity 8)
Os (0.0000, 0.1409, 0.7500) (multiplicity 4)
N (0.0000, 0.0000, 0.0000) (multiplicity 4)
N (0.0000, 0.2577, 0.6262) (multiplicity 8)
N (0.0000, 0.4345, 0.2500) (multiplicity 4)

Values from the calculation:
Uncorrected energy: -7.813 eV per atom

---

[3]
First-principles (PBE) data for a relaxed structure of CaZrRu3, as listed in Alexandria via LeMat-Bulk.

a = 4.8725 Å, b = 4.8725 Å, c = 4.8725 Å
α = 90.00°, β = 90.00°, γ = 90.00°
Space group Pm-3m (No. 221)
Unique sites:
Ca (0.0000, 0.0000, 0.0000) (multiplicity 1)
Zr (0.5000, 0.5000, 0.5000) (multiplicity 1)
Ru (0.0000, 0.5000, 0.5000) (multiplicity 3)

Values from the calculation:
Formation energy: 1.005 eV per atom
Uncorrected energy: -6.671 eV per atom
Offset from the most stable computed form: 0.0 meV per atom

---

[4]
First-principles (PBE) data for a relaxed structure of AcZnBi, as listed in Alexandria via LeMat-Bulk.

a = 7.3036 Å, b = 7.3036 Å, c = 7.3036 Å
α = 90.00°, β = 90.00°, γ = 90.00°
Space group F-43m (No. 216)
Unique sites:
Ac (0.0000, 0.0000, 0.0000) (multiplicity 4)
Zn (0.2500, 0.2500, 0.7500) (multiplicity 4)
Bi (0.0000, 0.0000, 0.5000) (multiplicity 4)

Values from the calculation:
Formation energy: -0.395 eV per atom
Uncorrected energy: -3.483 eV per atom
Offset from the most stable computed form: 171.3 meV per atom

---

[5]
First-principles (PBE) data for a relaxed structure of HoHfTl2, as listed in Alexandria via LeMat-Bulk.

a = 7.3429 Å, b = 7.3429 Å, c = 7.3429 Å
α = 90.00°, β = 90.00°, γ = 90.00°
Space group Fm-3m (No. 225)
Unique sites:
Ho (0.0000, 0.0000, 0.0000) (multiplicity 4)
Hf (0.0000, 0.0000, 0.5000) (multiplicity 4)
Tl (0.2500, 0.2500, 0.2500) (multiplicity 8)

Values from the calculation:
Formation energy: 0.011 eV per atom
Uncorrected energy: -4.805 eV per atom
Offset from the most stable computed form: 71.9 meV per atom

---

[6]
First-principles (PBE) data for a relaxed structure of FeOsPt2, as listed in Alexandria via LeMat-Bulk.

a = 9.0744 Å, b = 2.7134 Å, c = 4.7828 Å
α = 90.00°, β = 100.17°, γ = 90.00°
Space group Cm (No. 8)
Unique sites:
Fe (0.0000, 0.0000, 0.0000) (multiplicity 2)
Os (0.2619, 0.0000, 0.7451) (multiplicity 2)
Pt (0.0104, 0.5000, 0.5142) (multiplicity 2)
Pt (0.2481, 0.5000, 0.2313) (multiplicity 2)

Values from the calculation:
Formation energy: 0.005 eV per atom
Uncorrected energy: -7.939 eV per atom
Offset from the most stable computed form: 31.9 meV per atom

---

Q: What is the uncorrected energy in the fourth record?
A: -3.483 eV per atom

---

Q: What is the uncorrected energy in the sixth record?
A: -7.939 eV per atom

---

Q: What is the formula in the third record?
A: CaZrRu3

---

Q: Which value of uncorrected energy does entry 6 give?
A: -7.939 eV per atom